## LaMnNb2 (PBE)

Data for a relaxed structure of LaMnNb2.

Offset from the most stable computed form, eV per atom: 0.000
Calculated formation energy, eV per atom: 0.505
E_tot, eV per atom: -8.05
Symmetry: Fm-3m, No. 225

Lattice parameters (Å, degrees): 4.686 4.686 4.686 60.00 60.00 60.00
Fractional positions:
Nb (0.750, 0.750, 0.750)
Nb (0.250, 0.250, 0.250)
Mn (0.000, 0.000, 0.000)
La (0.500, 0.500, 0.500)

=====

## La3MnNb (PBE)

Data for a relaxed structure of La3MnNb.

Offset from the most stable computed form, eV per atom: 0.000
Calculated formation energy, eV per atom: 0.627
E_tot, eV per atom: -6.18
Symmetry: Pm-3m, No. 221

Lattice parameters (Å, degrees): 5.272 5.272 5.272 90.00 90.00 90.00
Site moments in Bohr magnetons follow the coordinates.
Fractional positions:
La (0.000, 0.000, 0.500)  0.01
La (0.500, 0.000, 0.000)  0.05
La (0.000, 0.500, 0.000)  0.03
Mn (0.000, 0.000, 0.000)  0.41
Nb (0.500, 0.500, 0.500)  2.36

=====

## LaMn3Nb (PBE)

Data for a relaxed structure of LaMn3Nb.

Offset from the most stable computed form, eV per atom: 0.000
Calculated formation energy, eV per atom: 0.697
E_tot, eV per atom: -7.80
Symmetry: Pm-3m, No. 221

Lattice parameters (Å, degrees): 4.816 4.816 4.816 90.00 90.00 90.00
Site moments in Bohr magnetons follow the coordinates.
Fractional positions:
Nb (0.000, 0.000, 0.000)  -1.12
Mn (0.000, 0.000, 0.500)  2.94
Mn (0.500, 0.000, 0.000)  3.27
La (0.500, 0.500, 0.500)  -0.13
Mn (0.000, 0.500, 0.000)  3.17

=====

Values of spin magnetization, in order: 0.0, 3.8, 8.3, all in μB per formula unit.